# 1
An optimized crystal structure of Sr3LaV3O12, computed with PBEsol.

Computed properties:
ρ = 4.664 g/cm3
Symmetry = Cm, No. 8
Formation energy from raw total energies = -2.9020 eV/atom
Volume = 14.0 A^3/atom
Final energy = -8.311 eV/atom
Spin magnetization = 0.01 μB per formula unit
Fermi-level density of states = 0.00 states/eV/f.u.

a = 5.5435 Å, b = 9.1880 Å, c = 10.8295 Å
α = 94.31°, β = 104.83°, γ = 90.00°
Sites, in units of the cell vectors:
Sr 0.0004 0.0030 0.0008
Sr 0.6726 0.6524 0.3452
Sr 0.3408 0.3159 0.6817
Sr 0.2002 0.0014 0.4005
Sr 0.8640 0.6632 0.7279
Sr 0.8008 0.0046 0.6017
La 0.4779 0.6449 0.9559
La 0.1222 0.3380 0.2443
V 0.0650 0.6663 0.1300
V 0.7281 0.3247 0.4562
V 0.3967 0.9833 0.7935
V 0.9386 0.3501 0.8771
V 0.6045 0.0097 0.2090
V 0.2683 0.6705 0.5366
O 0.4472 0.1336 0.8943
O 0.1179 0.8125 0.2359
O 0.7763 0.4821 0.5527
O 0.5441 0.8695 0.0882
O 0.2041 0.5388 0.4081
O 0.8801 0.2119 0.7602
O 0.1699 0.4611 0.8534
O 0.8609 0.1101 0.2022
O 0.5115 0.7788 0.5262
O 0.6835 0.4611 0.8534
O 0.3413 0.1101 0.2022
O 0.0148 0.7788 0.5262
O 0.0118 0.2815 0.0236
O 0.6779 0.9409 0.3559
O 0.3423 0.6036 0.6845
O 0.8203 0.5606 0.1447
O 0.4886 0.2218 0.4813
O 0.1543 0.8790 0.8148
O 0.3244 0.5606 0.1447
O 0.9928 0.2218 0.4813
O 0.6604 0.8790 0.8148
O 0.9887 0.7194 0.9774
O 0.6519 0.3767 0.3038
O 0.3205 0.0423 0.6409

# 2
An optimized crystal structure of Sb2TeCF, computed with PBEsol.

Computed properties:
ρ = 6.502 g/cm3
Symmetry = P4/mmm, No. 123
Formation energy from raw total energies = 0.6219 eV/atom
Volume = 20.5 A^3/atom
Final energy = -4.220 eV/atom
Spin magnetization = 0.00 μB per formula unit
Fermi-level density of states = 3.07 states/eV/f.u.

a = 4.6348 Å, b = 4.6348 Å, c = 4.7805 Å
α = 90.00°, β = 90.00°, γ = 90.00°
Sites, in units of the cell vectors:
Sb 0.0000 0.5000 0.0000
Sb 0.5000 0.0000 0.0000
C 0.0000 0.0000 0.0000
Te 0.0000 0.0000 0.5000
F 0.5000 0.5000 0.5000

# 3
An optimized crystal structure of Cs2O3, computed with PBEsol.

Computed properties:
ρ = 4.704 g/cm3
Symmetry = I-43d, No. 220
Formation energy from raw total energies = -0.9538 eV/atom
Volume = 22.2 A^3/atom
Final energy = -4.480 eV/atom
Spin magnetization = 1.00 μB per formula unit
Fermi-level density of states = 6.58 states/eV/f.u.

a = 8.3185 Å, b = 8.3185 Å, c = 8.3185 Å
α = 109.47°, β = 109.47°, γ = 109.47°
Sites, in units of the cell vectors:
Cs 0.6045 0.0000 0.0000
Cs 0.8955 0.8955 0.3955
Cs 0.0000 0.5000 0.1045
Cs 0.1045 0.0000 0.0000
Cs 0.5000 0.6045 0.5000
Cs 0.3955 0.3955 0.8955
Cs 0.5000 0.1045 0.5000
Cs 0.0000 0.5000 0.6045
O 0.8028 0.0528 0.7500
O 0.6972 0.4472 0.2500
O 0.0528 0.2500 0.3028
O 0.3028 0.7500 0.0528
O 0.4472 0.7500 0.1972
O 0.1972 0.2500 0.4472
O 0.7500 0.6972 0.9472
O 0.5528 0.3028 0.2500
O 0.2500 0.8028 0.5528
O 0.9472 0.1972 0.7500
O 0.2500 0.9472 0.6972
O 0.7500 0.5528 0.8028

# 4
An optimized crystal structure of LaInP, computed with PBEsol.

Computed properties:
ρ = 5.959 g/cm3
Symmetry = F-43m, No. 216
Volume = 26.4 A^3/atom
Formation energy = -529 meV/atom
Final energy = -5.236 eV/atom
Spin magnetization = 0.00 μB per formula unit
Fermi-level density of states = 3.54 states/eV/f.u.

a = 4.8230 Å, b = 4.8230 Å, c = 4.8230 Å
α = 60.00°, β = 60.00°, γ = 60.00°
Sites, in units of the cell vectors:
In 0.0000 0.0000 0.0000
La 0.5000 0.5000 0.5000
P 0.7500 0.7500 0.7500